# 1
First-principles (PBE-GGA) data for a geometry-optimized CrTc2Se structure, as listed in Alexandria via LeMat-Bulk.

Output
Raw formation energy = 19 kJ/mol of atoms
Magnetic moment = 0.609 μB/f.u.
Electronic total energy = -8.2669 eV/atom
Calculated volume = 114 Å³ per cell

abc: 8.829 2.996 4.504
angles: 90.00 106.35 90.00
Space group Cm (No. 8)
Symmetry-distinct sites (fractional):
Cr: 0.000 0.000 0.000 (multiplicity 2)
Tc: 0.267 0.000 0.885 (multiplicity 2)
Tc: 0.497 0.000 0.496 (multiplicity 2)
Se: 0.251 0.500 0.340 (multiplicity 2)



# 2
First-principles (PBE-GGA) data for a geometry-optimized CrTcSe2 structure, as listed in Alexandria via LeMat-Bulk.

Output
Raw formation energy = 42 kJ/mol of atoms
Magnetic moment = 2.602 μB/f.u.
Offset from the most stable computed form = 684 meV/atom
Electronic total energy = -6.3066 eV/atom
Calculated volume = 75 Å³ per cell

abc: 3.249 3.839 5.988
angles: 90.00 90.00 90.00
Space group Pmmm (No. 47)
Symmetry-distinct sites (fractional):
Cr: 0.000 0.000 0.000 (multiplicity 1)
Tc: 0.500 0.000 0.500 (multiplicity 1)
Se: 0.000 0.500 0.500 (multiplicity 1)
Se: 0.500 0.500 0.000 (multiplicity 1)



# 3
First-principles (PBE-GGA) data for a geometry-optimized CrTcSe structure, as listed in Alexandria via LeMat-Bulk.

Output
Raw formation energy = 26 kJ/mol of atoms
Magnetic moment = 0.217 μB/f.u.
Offset from the most stable computed form = 113 meV/atom
Electronic total energy = -7.5576 eV/atom
Calculated volume = 44 Å³ per cell

abc: 2.9164 2.9164 5.9646
angles: 90.00 90.00 120.00
Space group P3m1 (No. 156)
Symmetry-distinct sites (fractional):
Cr: 0.0000 0.0000 0.0000 (multiplicity 1)
Tc: 0.3333 0.6667 0.6917 (multiplicity 1)
Se: 0.6667 0.3333 0.3159 (multiplicity 1)



# 4
First-principles (PBE-GGA) data for a geometry-optimized CrTcSe2 structure, as listed in Alexandria via LeMat-Bulk.

Output
Raw formation energy = 19 kJ/mol of atoms
Magnetic moment = 0.000 μB/f.u.
Offset from the most stable computed form = 447 meV/atom
Electronic total energy = -6.5436 eV/atom
Calculated volume = 232 Å³ per cell

abc: 6.142 6.142 6.142
angles: 90.00 90.00 90.00
Space group Fm-3m (No. 225)
Symmetry-distinct sites (fractional):
Cr: 0.000 0.000 0.000 (multiplicity 4)
Tc: 0.000 0.000 0.500 (multiplicity 4)
Se: 0.250 0.250 0.250 (multiplicity 8)



# 5
First-principles (PBE-GGA) data for a geometry-optimized CrTcSe structure, as listed in Alexandria via LeMat-Bulk.

Output
Raw formation energy = 15 kJ/mol of atoms
Magnetic moment = 1.810 μB/f.u.
Offset from the most stable computed form = 0 meV/atom
Electronic total energy = -7.6703 eV/atom
Calculated volume = 114 Å³ per cell

abc: 2.908 4.450 8.819
angles: 90.00 90.00 90.00
Space group Pmmn (No. 59, origin choice 2)
Symmetry-distinct sites (fractional):
Cr: 0.250 0.250 0.203 (multiplicity 2)
Tc: 0.250 0.750 0.023 (multiplicity 2)
Se: 0.250 0.750 0.322 (multiplicity 2)



# 6
First-principles (PBE-GGA) data for a geometry-optimized CrTc2Se structure, as listed in Alexandria via LeMat-Bulk.

Output
Raw formation energy = 11 kJ/mol of atoms
Magnetic moment = 0.002 μB/f.u.
Electronic total energy = -8.3465 eV/atom
Calculated volume = 56 Å³ per cell

abc: 2.985 2.985 6.332
angles: 90.00 90.00 90.00
Space group P4/mmm (No. 123)
Symmetry-distinct sites (fractional):
Cr: 0.000 0.000 0.000 (multiplicity 1)
Tc: 0.500 0.500 0.238 (multiplicity 2)
Se: 0.000 0.000 0.500 (multiplicity 1)